# NbVSiMo

An optimized crystal structure of NbVSiMo (GGA-PBE, the Alexandria database).

The value obtained for the uncorrected formation energy is -4.56 kcal/mol of atoms. As for the final energy: -9.058 eV per atom.

The structure belongs to space group F-43m (No. 216); the cell edges are 6.225, 6.225 and 6.225 Å and the angles 90.00°, 90.00° and 90.00°. The asymmetric unit holds Nb at (0.000, 0.000, 0.000), V at (0.250, 0.250, 0.250), Si at (0.000, 0.000, 0.500) and Mo at (0.250, 0.250, 0.750).

# Tl2PbCl4

An optimized crystal structure of Tl2PbCl4 (GGA-PBE, the Alexandria database).

The value obtained for the uncorrected formation energy is -24.59 kcal/mol of atoms. The calculation puts the distance to the lowest polymorph of the same formula at 0.004 eV/atom. As for the final energy: -3.327 eV per atom.

The structure belongs to space group C2/m (No. 12); the cell edges are 13.821, 4.388 and 8.654 Å and the angles 90.00°, 117.22° and 90.00°. The asymmetric unit holds Tl at (0.176, 0.000, 0.164), Pb at (0.000, 0.500, 0.500), Cl at (0.098, 0.500, 0.876) and Cl at (0.152, 0.000, 0.542).

# YOsCl2

An optimized crystal structure of YOsCl2 (GGA-PBE, the Alexandria database).

The value obtained for the uncorrected formation energy is -4.67 kcal/mol of atoms. The calculation puts the distance to the lowest polymorph of the same formula at 0.372 eV/atom. As for the final energy: -5.549 eV per atom.

The structure belongs to space group C2/m (No. 12); the cell edges are 6.095, 8.621 and 4.339 Å and the angles 90.00°, 134.14° and 90.00°. The asymmetric unit holds Y at (0.000, 0.000, 0.000), Os at (0.000, 0.500, 0.000) and Cl at (0.250, 0.250, 0.500).

# RbScPb

An optimized crystal structure of RbScPb (GGA-PBE, the Alexandria database).

The value obtained for the formation energy is 0.8236 eV per atom. The calculation puts the distance to the lowest polymorph of the same formula at 1.061 eV/atom. As for the final energy: -2.846 eV per atom.

The structure belongs to space group P6_3/mmc (No. 194); the cell edges are 6.7408, 6.7408 and 10.9556 Å and the angles 90.00°, 90.00° and 120.00°. The asymmetric unit holds Rb at (0.3333, 0.6667, 0.2500), Sc at (0.0000, 0.0000, 0.2500) and Pb at (0.0000, 0.0000, 0.0000).

# CaThAlCu

An optimized crystal structure of CaThAlCu (GGA-PBE, the Alexandria database).

The value obtained for the formation energy is -0.0962 eV per atom. As for the final energy: -4.411 eV per atom.

The structure belongs to space group F-43m (No. 216); the cell edges are 7.307, 7.307 and 7.307 Å and the angles 90.00°, 90.00° and 90.00°. The asymmetric unit holds Ca at (0.000, 0.000, 0.000), Th at (0.000, 0.000, 0.500), Al at (0.250, 0.250, 0.750) and Cu at (0.250, 0.250, 0.250).

# HfNi2GeIr

An optimized crystal structure of HfNi2GeIr (GGA-PBE, the Alexandria database).

The value obtained for the formation energy is 1.4588 eV per atom. As for the final energy: -5.540 eV per atom.

The structure belongs to space group P4/mmm (No. 123); the cell edges are 4.429, 4.429 and 4.939 Å and the angles 90.00°, 90.00° and 90.00°. The asymmetric unit holds Hf at (0.000, 0.000, 0.000), Ni at (0.000, 0.500, 0.000), Ge at (0.000, 0.000, 0.500) and Ir at (0.500, 0.500, 0.500).